(1)
The following is a DFT calculation (PBE) of a relaxed PaCoSiTc crystal.

Unit cell a=3.6648 b=4.3099 c=4.6454 alpha=90.00 beta=90.00 gamma=90.00
Positions (direct):
Pa 0.0000 0.0000 0.0000
Co 0.5000 0.0000 0.5000
Si 0.5000 0.5000 0.5000
Tc 0.5000 0.5000 0.0000

Summary:
total magnetization	0.5	μB per formula unit
polymorph energy (0 for the lowest one)	141.1	meV/atom
ΔE_f (raw)	-95	meV per atom

=====

(2)
The following is a DFT calculation (PBE) of a relaxed BiOsRu2 crystal.

Unit cell a=5.7620 b=5.7620 c=11.7623 alpha=90.00 beta=90.00 gamma=90.00
Positions (direct):
Bi 0.0000 0.0000 0.0000
Bi 0.0000 0.5000 0.2500
Bi 0.5000 0.0000 0.7500
Bi 0.5000 0.5000 0.5000
Os 0.0000 0.0000 0.5000
Os 0.0000 0.5000 0.7500
Os 0.5000 0.0000 0.2500
Os 0.5000 0.5000 0.0000
Ru 0.2029 0.2500 0.6250
Ru 0.2500 0.7029 0.8750
Ru 0.2500 0.7971 0.3750
Ru 0.2971 0.2500 0.1250
Ru 0.7029 0.7500 0.1250
Ru 0.7500 0.2029 0.3750
Ru 0.7500 0.2971 0.8750
Ru 0.7971 0.7500 0.6250

Summary:
total magnetization	0.0	μB per formula unit
energy of formation from the pure elements	1.0401	eV per atom

=====

(3)
The following is a DFT calculation (PBE) of a relaxed Tb2SmTmMg crystal.

Unit cell a=6.1347 b=5.5863 c=9.3553 alpha=90.00 beta=108.71 gamma=90.00
Positions (direct):
Tb 0.0494 0.2500 0.3001
Tb 0.1240 0.7500 0.1052
Tb 0.8760 0.2500 0.8948
Tb 0.9506 0.7500 0.6999
Sm 0.4632 0.2500 0.1112
Sm 0.5368 0.7500 0.8888
Tm 0.3387 0.7500 0.5014
Tm 0.6613 0.2500 0.4986
Mg 0.2717 0.2500 0.6938
Mg 0.7283 0.7500 0.3062

Summary:
total magnetization	0.0	μB per formula unit
energy of formation from the pure elements	0.0168	eV per atom